{"formula": "BTeO", "functional": "PBE", "state": "relaxed", "lattice_angstrom": [[6.6601, -1.3550, 0.0000], [6.6601, 1.3550, 0.0000], [-4.9872, 0.0000, 6.6248]], "species": ["B", "B", "Te", "Te", "O", "O"], "fractional_positions": [[0.1757, 0.1757, 0.3885], [0.8243, 0.8243, 0.6115], [0.4663, 0.4663, 0.2321], [0.5337, 0.5337, 0.7679], [0.2644, 0.2644, 0.6198], [0.7356, 0.7356, 0.3802]], "dos_ef_per_ev_cell": 0.33, "raw_formation_energy_ev_per_atom": -0.4287}

***

{"formula": "BTeO2", "functional": "PBE", "state": "relaxed", "lattice_angstrom": [[0.0000, 2.8322, 2.8322], [2.8322, 0.0000, 2.8322], [2.8322, 2.8322, 0.0000]], "species": ["B", "Te", "O", "O"], "fractional_positions": [[0.0000, 0.0000, 0.0000], [0.5000, 0.5000, 0.5000], [0.2500, 0.2500, 0.2500], [0.7500, 0.7500, 0.7500]], "dos_ef_per_ev_cell": 1.47, "polymorph_energy_ev_per_atom": 1.8812, "raw_formation_energy_ev_per_atom": 0.8242}

***

{"formula": "BTeO2", "functional": "PBE", "state": "relaxed", "lattice_angstrom": [[0.0000, 3.5061, 3.5061], [3.5061, 0.0000, 3.5061], [3.5061, 3.5061, 0.0000]], "species": ["B", "B", "Te", "Te", "O", "O", "O", "O"], "fractional_positions": [[0.1250, 0.1250, 0.1250], [0.8750, 0.8750, 0.8750], [0.3750, 0.3750, 0.3750], [0.6250, 0.6250, 0.6250], [0.0000, 0.0000, 0.0000], [0.0000, 0.0000, 0.5000], [0.0000, 0.5000, 0.0000], [0.5000, 0.0000, 0.0000]], "dos_ef_per_ev_cell": 1.14, "polymorph_energy_ev_per_atom": 0.0000, "raw_formation_energy_ev_per_atom": -1.0571}

***

{"formula": "B3TeO", "functional": "PBE", "state": "relaxed", "lattice_angstrom": [[3.8452, 0.0000, 0.0000], [0.0000, 3.8452, 0.0000], [0.0000, 0.0000, 3.8452]], "species": ["B", "B", "B", "Te", "O"], "fractional_positions": [[0.0000, 0.0000, 0.5000], [0.0000, 0.5000, 0.0000], [0.5000, 0.0000, 0.0000], [0.5000, 0.5000, 0.5000], [0.0000, 0.0000, 0.0000]], "dos_ef_per_ev_cell": 2.94, "polymorph_energy_ev_per_atom": 0.0000, "raw_formation_energy_ev_per_atom": 1.7247}

***

{"formula": "B3TeO", "functional": "PBE", "state": "relaxed", "lattice_angstrom": [[4.4289, 0.0000, 0.0000], [0.0000, 4.4289, 0.0000], [0.0000, 0.0000, 4.4289]], "species": ["B", "B", "B", "Te", "O"], "fractional_positions": [[0.0000, 0.0000, 0.5000], [0.0000, 0.5000, 0.0000], [0.5000, 0.0000, 0.0000], [0.0000, 0.0000, 0.0000], [0.5000, 0.5000, 0.5000]], "dos_ef_per_ev_cell": 1.88, "polymorph_energy_ev_per_atom": 0.8703, "raw_formation_energy_ev_per_atom": 2.5950}

***

{"formula": "BTe2O", "functional": "PBE", "state": "relaxed", "lattice_angstrom": [[1.7843, 1.0302, 7.0539], [-1.7843, 1.0302, 7.0539], [0.0000, -2.0603, 7.0539]], "species": ["B", "Te", "Te", "O"], "fractional_positions": [[0.0000, 0.0000, 0.0000], [0.4029, 0.4029, 0.4029], [0.5971, 0.5971, 0.5971], [0.5000, 0.5000, 0.5000]], "dos_ef_per_ev_cell": 2.18, "polymorph_energy_ev_per_atom": 0.0184, "raw_formation_energy_ev_per_atom": 0.4740}

***

{"formula": "BTeO3", "functional": "PBE", "state": "relaxed", "lattice_angstrom": [[6.3565, -1.3560, 0.0000], [6.3565, 1.3560, 0.0000], [-4.0740, 0.0000, 8.8565]], "species": ["B", "B", "Te", "Te", "O", "O", "O", "O", "O", "O"], "fractional_positions": [[0.1264, 0.1264, 0.3072], [0.8736, 0.8736, 0.6928], [0.3109, 0.3109, 0.1755], [0.6891, 0.6891, 0.8245], [0.1600, 0.1600, 0.0112], [0.2377, 0.2377, 0.3254], [0.4276, 0.4276, 0.6989], [0.5724, 0.5724, 0.3011], [0.7623, 0.7623, 0.6746], [0.8400, 0.8400, 0.9888]], "dos_ef_per_ev_cell": 1.30, "raw_formation_energy_ev_per_atom": -1.2022}

***

{"formula": "BTeO2", "functional": "PBE", "state": "relaxed", "lattice_angstrom": [[1.5994, 0.9234, 6.7775], [-1.5994, 0.9234, 6.7775], [0.0000, -1.8468, 6.7775]], "species": ["B", "Te", "O", "O"], "fractional_positions": [[0.0000, 0.0000, 0.0000], [0.5000, 0.5000, 0.5000], [0.0623, 0.0623, 0.0623], [0.9377, 0.9377, 0.9377]], "dos_ef_per_ev_cell": 1.68, "polymorph_energy_ev_per_atom": 0.1111, "raw_formation_energy_ev_per_atom": -0.9459}

***

{"formula": "BTe2O", "functional": "PBE", "state": "relaxed", "lattice_angstrom": [[0.0000, 3.1354, 3.1354], [3.1354, 0.0000, 3.1354], [3.1354, 3.1354, 0.0000]], "species": ["B", "Te", "Te", "O"], "fractional_positions": [[0.0000, 0.0000, 0.0000], [0.2500, 0.2500, 0.2500], [0.7500, 0.7500, 0.7500], [0.5000, 0.5000, 0.5000]], "dos_ef_per_ev_cell": 1.91, "polymorph_energy_ev_per_atom": 0.4205, "raw_formation_energy_ev_per_atom": 0.8761}

***

{"formula": "B2TeO5", "functional": "PBE", "state": "relaxed", "lattice_angstrom": [[5.6271, -5.0524, 0.0000], [5.6271, 5.0524, 0.0000], [-3.1188, 0.0000, 8.6747]], "species": ["B", "B", "B", "B", "B", "B", "B", "B", "Te", "Te", "Te", "Te", "O", "O", "O", "O", "O", "O", "O", "O", "O", "O", "O", "O", "O", "O", "O", "O", "O", "O", "O", "O"], "fractional_positions": [[0.0953, 0.6434, 0.8536], [0.2298, 0.3998, 0.9837], [0.3566, 0.9047, 0.6464], [0.3998, 0.2298, 0.4837], [0.6002, 0.7702, 0.5163], [0.6434, 0.0953, 0.3536], [0.7702, 0.6002, 0.0163], [0.9047, 0.3566, 0.1464], [0.1078, 0.2572, 0.6380], [0.2572, 0.1078, 0.1380], [0.7428, 0.8922, 0.8620], [0.8922, 0.7428, 0.3620], [0.0144, 0.8152, 0.8907], [0.0709, 0.5369, 0.7074], [0.1821, 0.2544, 0.8570], [0.1848, 0.9856, 0.6093], [0.2040, 0.5802, 0.9812], [0.2544, 0.1821, 0.3570], [0.2996, 0.3539, 0.1246], [0.3539, 0.2996, 0.6246], [0.4198, 0.7960, 0.5188], [0.4631, 0.9291, 0.7926], [0.5369, 0.0709, 0.2074], [0.5802, 0.2040, 0.4812], [0.6461, 0.7004, 0.3754], [0.7004, 0.6461, 0.8754], [0.7456, 0.8179, 0.6430], [0.7960, 0.4198, 0.0188], [0.8152, 0.0144, 0.3907], [0.8179, 0.7456, 0.1430], [0.9291, 0.4631, 0.2926], [0.9856, 0.1848, 0.1093]], "dos_ef_per_ev_cell": 0.00, "raw_formation_energy_ev_per_atom": -1.8244}

***

{"formula": "BTe2O", "functional": "PBE", "state": "relaxed", "lattice_angstrom": [[-2.9567, 2.9567, 4.6327], [2.9567, -2.9567, 4.6327], [2.9567, 2.9567, -4.6327]], "species": ["B", "B", "Te", "Te", "Te", "Te", "O", "O"], "fractional_positions": [[0.0000, 0.0000, 0.0000], [0.7500, 0.2500, 0.5000], [0.1020, 0.6250, 0.9770], [0.3750, 0.3520, 0.4770], [0.6480, 0.1250, 0.0230], [0.8750, 0.8980, 0.5230], [0.2500, 0.7500, 0.5000], [0.5000, 0.5000, 0.0000]], "dos_ef_per_ev_cell": 5.69, "polymorph_energy_ev_per_atom": 0.0000, "raw_formation_energy_ev_per_atom": 0.4556}

***

{"formula": "BTeO3", "functional": "PBE", "state": "relaxed", "lattice_angstrom": [[3.5457, 0.0000, 0.0000], [0.0000, 3.5457, 0.0000], [0.0000, 0.0000, 3.5457]], "species": ["B", "Te", "O", "O", "O"], "fractional_positions": [[0.0000, 0.0000, 0.0000], [0.5000, 0.5000, 0.5000], [0.0000, 0.0000, 0.5000], [0.0000, 0.5000, 0.0000], [0.5000, 0.0000, 0.0000]], "dos_ef_per_ev_cell": 1.73, "raw_formation_energy_ev_per_atom": -0.4012}

***

{"formula": "BTe2O", "functional": "PBE", "state": "relaxed", "lattice_angstrom": [[1.7727, 1.0234, 7.6243], [-1.7727, 1.0234, 7.6243], [0.0000, -2.0469, 7.6243]], "species": ["B", "Te", "Te", "O"], "fractional_positions": [[0.0000, 0.0000, 0.0000], [0.0917, 0.0917, 0.0917], [0.9083, 0.9083, 0.9083], [0.5000, 0.5000, 0.5000]], "dos_ef_per_ev_cell": 3.17, "polymorph_energy_ev_per_atom": 0.3895, "raw_formation_energy_ev_per_atom": 0.8451}

***

{"formula": "B2TeO6", "functional": "PBE", "state": "relaxed", "lattice_angstrom": [[4.7188, -4.3378, 0.0000], [4.7188, 4.3378, 0.0000], [-1.7464, 0.0000, 4.4409]], "species": ["B", "B", "B", "B", "Te", "Te", "O", "O", "O", "O", "O", "O", "O", "O", "O", "O", "O", "O"], "fractional_positions": [[0.1336, 0.2837, 0.1558], [0.2837, 0.1336, 0.6558], [0.7163, 0.8664, 0.3442], [0.8664, 0.7163, 0.8442], [0.2516, 0.7484, 0.2500], [0.7484, 0.2516, 0.7500], [0.0968, 0.6707, 0.8415], [0.1107, 0.2151, 0.8187], [0.2151, 0.1107, 0.3187], [0.2690, 0.4713, 0.3239], [0.3293, 0.9032, 0.6585], [0.4713, 0.2690, 0.8239], [0.5287, 0.7310, 0.1761], [0.6707, 0.0968, 0.3415], [0.7310, 0.5287, 0.6761], [0.7849, 0.8893, 0.6813], [0.8893, 0.7849, 0.1813], [0.9032, 0.3293, 0.1585]], "polymorph_energy_ev_per_atom": 0.0268, "raw_formation_energy_ev_per_atom": -1.5746}

***

{"formula": "B2TeO6", "functional": "PBE", "state": "relaxed", "lattice_angstrom": [[5.2485, 0.0000, 0.0000], [0.0000, 8.8407, 0.0000], [-2.0147, 0.0000, 11.1205]], "species": ["B", "B", "B", "B", "B", "B", "B", "B", "Te", "Te", "Te", "Te", "O", "O", "O", "O", "O", "O", "O", "O", "O", "O", "O", "O", "O", "O", "O", "O", "O", "O", "O", "O", "O", "O", "O", "O"], "fractional_positions": [[0.0017, 0.2238, 0.1169], [0.0017, 0.2762, 0.6169], [0.4502, 0.6263, 0.1357], [0.4502, 0.8737, 0.6357], [0.5498, 0.1263, 0.3643], [0.5498, 0.3737, 0.8643], [0.9983, 0.7238, 0.3831], [0.9983, 0.7762, 0.8831], [0.4351, 0.7059, 0.8663], [0.4351, 0.7941, 0.3663], [0.5649, 0.2059, 0.6337], [0.5649, 0.2941, 0.1337], [0.0775, 0.6292, 0.8599], [0.0775, 0.8708, 0.3599], [0.2122, 0.6254, 0.4027], [0.2122, 0.8746, 0.9027], [0.2490, 0.1753, 0.1170], [0.2490, 0.3247, 0.6170], [0.3691, 0.7489, 0.1947], [0.3691, 0.7511, 0.6947], [0.4388, 0.0160, 0.6853], [0.4388, 0.4840, 0.1853], [0.4488, 0.1501, 0.4671], [0.4488, 0.3499, 0.9671], [0.5512, 0.6501, 0.0329], [0.5512, 0.8499, 0.5329], [0.5612, 0.5160, 0.8147], [0.5612, 0.9840, 0.3147], [0.6309, 0.2489, 0.3053], [0.6309, 0.2511, 0.8053], [0.7510, 0.6753, 0.3830], [0.7510, 0.8247, 0.8830], [0.7878, 0.1254, 0.0973], [0.7878, 0.3746, 0.5973], [0.9225, 0.1292, 0.6401], [0.9225, 0.3708, 0.1401]], "dos_ef_per_ev_cell": 0.00, "polymorph_energy_ev_per_atom": 0.0000, "raw_formation_energy_ev_per_atom": -1.6014}

***

{"formula": "BTeO3", "functional": "PBE", "state": "relaxed", "lattice_angstrom": [[4.0077, 0.0000, 0.0000], [0.0000, 4.0077, 0.0000], [0.0000, 0.0000, 4.0077]], "species": ["B", "Te", "O", "O", "O"], "fractional_positions": [[0.0000, 0.0000, 0.0000], [0.5000, 0.5000, 0.5000], [0.0000, 0.5000, 0.5000], [0.5000, 0.0000, 0.5000], [0.5000, 0.5000, 0.0000]], "dos_ef_per_ev_cell": 0.72, "raw_formation_energy_ev_per_atom": 0.2962}

***

{"formula": "TlB2TeO8", "functional": "PBE", "state": "relaxed", "lattice_angstrom": [[3.8600, -2.5530, 0.0000], [3.8600, 2.5530, 0.0000], [-0.4521, 0.0000, 6.9102]], "species": ["Tl", "B", "B", "Te", "O", "O", "O", "O", "O", "O", "O", "O"], "fractional_positions": [[0.0000, 0.0000, 0.0000], [0.3430, 0.3430, 0.2822], [0.6570, 0.6570, 0.7178], [0.0000, 0.0000, 0.5000], [0.2186, 0.6990, 0.2915], [0.2398, 0.2398, 0.4488], [0.2678, 0.2678, 0.0840], [0.3010, 0.7814, 0.7085], [0.6990, 0.2186, 0.2915], [0.7322, 0.7322, 0.9160], [0.7602, 0.7602, 0.5512], [0.7814, 0.3010, 0.7085]], "dos_ef_per_ev_cell": 4.35, "raw_formation_energy_ev_per_atom": -1.2821}

***

{"formula": "Tl2BTeO6", "functional": "PBE", "state": "relaxed", "lattice_angstrom": [[5.8846, 0.0000, 0.0000], [-2.9423, 5.0962, 0.0000], [0.0000, 0.0000, 4.9031]], "species": ["Tl", "Tl", "B", "Te", "O", "O", "O", "O", "O", "O"], "fractional_positions": [[0.3333, 0.6667, 0.3665], [0.6667, 0.3333, 0.6335], [0.0000, 0.0000, 0.5000], [0.0000, 0.0000, 0.0000], [0.1368, 0.2737, 0.7191], [0.1368, 0.8632, 0.7191], [0.2737, 0.1368, 0.2809], [0.7263, 0.8632, 0.7191], [0.8632, 0.1368, 0.2809], [0.8632, 0.7263, 0.2809]], "dos_ef_per_ev_cell": 4.53, "raw_formation_energy_ev_per_atom": -0.7619}

***

{"formula": "Tl2BTeO", "functional": "PBE", "state": "relaxed", "lattice_angstrom": [[6.4601, 0.0000, 0.0000], [0.0000, 6.4601, 0.0000], [0.0000, 0.0000, 2.9654]], "species": ["Tl", "Tl", "B", "Te", "O"], "fractional_positions": [[0.0000, 0.5000, 0.0000], [0.5000, 0.0000, 0.0000], [0.0000, 0.0000, 0.5000], [0.5000, 0.5000, 0.5000], [0.0000, 0.0000, 0.0000]], "dos_ef_per_ev_cell": 1.15, "raw_formation_energy_ev_per_atom": 0.0129}

***

{"formula": "Tl2B2TeO6", "functional": "PBE", "state": "relaxed", "lattice_angstrom": [[2.6781, 1.5462, 7.0570], [-2.6781, 1.5462, 7.0570], [0.0000, -3.0924, 7.0570]], "species": ["Tl", "Tl", "B", "B", "Te", "O", "O", "O", "O", "O", "O"], "fractional_positions": [[0.2148, 0.2148, 0.2148], [0.7852, 0.7852, 0.7852], [0.3941, 0.3941, 0.3941], [0.6059, 0.6059, 0.6059], [0.0000, 0.0000, 0.0000], [0.2477, 0.2477, 0.6963], [0.2477, 0.6963, 0.2477], [0.3037, 0.7523, 0.7523], [0.6963, 0.2477, 0.2477], [0.7523, 0.3037, 0.7523], [0.7523, 0.7523, 0.3037]], "dos_ef_per_ev_cell": 0.00, "raw_formation_energy_ev_per_atom": -1.5079}